Entry from Alexandria via LeMat-Bulk: crystalline Sm5Pa at its relaxed geometry (PBE).

Cell: 7.970 7.970 5.021 Å, 90.00 90.00 143.08°
Positions (direct):
1 Sm 0.000 0.000 0.000
2 Sm 0.159 0.841 0.500
3 Sm 0.342 0.658 0.000
4 Sm 0.658 0.342 0.000
5 Sm 0.841 0.159 0.500
6 Pa 0.500 0.500 0.500

Summary:
- V (Å³ per atom) = 31.930
- symmetry = Cmmm (65)
- total energy (eV per atom) = -5.359

---

Entry from Alexandria via LeMat-Bulk: crystalline In2TcPt at its relaxed geometry (PBE).

Cell: 2.984 2.984 8.550 Å, 90.00 90.00 90.00°
Positions (direct):
1 In 0.000 0.000 0.000
2 In 0.500 0.500 0.317
3 Tc 0.500 0.500 0.763
4 Pt 0.000 0.000 0.567

Summary:
- V (Å³ per atom) = 19.034
- symmetry = P4mm (99)
- total energy (eV per atom) = -5.361

---

Entry from Alexandria via LeMat-Bulk: crystalline YCdOs at its relaxed geometry (PBE).

Cell: 4.677 4.677 4.677 Å, 60.00 60.00 60.00°
Positions (direct):
1 Y 0.000 0.000 0.000
2 Cd 0.500 0.500 0.500
3 Os 0.750 0.750 0.750

Summary:
- V (Å³ per atom) = 24.113
- symmetry = F-43m (216)
- total energy (eV per atom) = -5.850

---

Entry from Alexandria via LeMat-Bulk: crystalline Mg2In2Cu at its relaxed geometry (PBE).

Cell: 6.985 6.985 4.583 Å, 90.00 90.00 90.00°
Positions (direct):
1 Mg 0.154 0.346 0.000
2 Mg 0.346 0.846 0.000
3 Mg 0.654 0.154 0.000
4 Mg 0.846 0.654 0.000
5 In 0.161 0.661 0.500
6 In 0.339 0.161 0.500
7 In 0.661 0.839 0.500
8 In 0.839 0.339 0.500
9 Cu 0.000 0.000 0.000
10 Cu 0.500 0.500 0.000

Summary:
- V (Å³ per atom) = 22.359
- distance to the lowest polymorph of the same formula (kJ/mol of atoms) = 14.5
- symmetry = P4/mbm (127)
- total energy (eV per atom) = -2.436

---

Entry from Alexandria via LeMat-Bulk: crystalline Pm5Ge5Pd2 at its relaxed geometry (PBE).

Cell: 8.038 8.038 11.121 Å, 128.96 128.96 31.45°
Positions (direct):
1 Pm 0.000 0.000 0.000
2 Pm 0.113 0.113 0.420
3 Pm 0.195 0.195 0.822
4 Pm 0.805 0.805 0.178
5 Pm 0.887 0.887 0.580
6 Ge 0.255 0.255 0.313
7 Ge 0.439 0.439 0.161
8 Ge 0.500 0.500 0.500
9 Ge 0.561 0.561 0.839
10 Ge 0.745 0.745 0.687
11 Pd 0.358 0.358 0.747
12 Pd 0.642 0.642 0.253

Summary:
- V (Å³ per atom) = 23.656
- distance to the lowest polymorph of the same formula (kJ/mol of atoms) = 0.0
- symmetry = C2/m (12)
- total energy (eV per atom) = -5.590

---

Entry from Alexandria via LeMat-Bulk: crystalline Rb2YPuTe4 at its relaxed geometry (PBE).

Cell: 7.934 4.572 8.920 Å, 90.00 107.22 90.00°
Positions (direct):
1 Rb 0.000 0.000 0.000
2 Rb 0.500 0.500 0.000
3 Y 0.000 0.500 0.500
4 Pu 0.500 0.000 0.500
5 Te 0.229 0.000 0.700
6 Te 0.264 0.500 0.301
7 Te 0.736 0.500 0.699
8 Te 0.771 0.000 0.300

Summary:
- V (Å³ per atom) = 38.635
- raw formation energy (meV/atom) = -1243
- symmetry = P2/m (10)
- total energy (eV per atom) = -5.655

---

Entry from Alexandria via LeMat-Bulk: crystalline ScTc3Ru at its relaxed geometry (PBE).

Cell: 4.643 4.643 4.643 Å, 90.00 90.00 90.00°
Positions (direct):
1 Sc 0.000 0.000 0.000
2 Tc 0.000 0.500 0.500
3 Tc 0.500 0.000 0.500
4 Tc 0.500 0.500 0.000
5 Ru 0.500 0.500 0.500

Summary:
- V (Å³ per atom) = 20.024
- distance to the lowest polymorph of the same formula (kJ/mol of atoms) = 0.0
- symmetry = Pm-3m (221)
- total energy (eV per atom) = -8.168